## InPtCl2 (PBE-GGA)

Data for InPtCl2 after structural relaxation.

Geometry as POSCAR:
```
InPtCl2
1.0
-2.7988 2.7988 7.5041
2.7988 -2.7988 7.5041
2.7988 2.7988 -7.5041
In Pt Cl
2 2 4
Cartesian
0.0000 0.0000 0.0000
0.0000 2.7988 3.7521
2.7988 0.0000 3.7521
0.0000 0.0000 7.5041
1.3994 -0.7804 5.6281
2.0184 1.3994 1.8760
1.3994 3.5792 -1.8760
0.7804 1.3994 9.3802
```

## Properties
energy relative to the elements, uncorrected: -30 meV/atom
D(E_F): 6.98 states/eV per cell
final energy: -3.15 eV/atom
V: 29.39 Å³ per atom

=====

## B2P2S (PBE-GGA)

Data for B2P2S after structural relaxation.

Geometry as POSCAR:
```
B2P2S
1.0
3.0670 0.0000 0.0000
-0.9913 4.1228 0.0000
-0.5790 -1.3332 5.3280
B P S
2 2 1
Cartesian
0.0000 0.0000 0.0000
0.1767 1.3390 1.1087
0.1749 0.8041 3.0746
-0.0405 2.7348 4.1479
1.7545 2.5334 1.1349
```

## Properties
energy relative to the elements, uncorrected: 82 meV/atom
D(E_F): 0.95 states/eV per cell
final energy: -5.58 eV/atom
V: 13.47 Å³ per atom

=====

## ErTc3P3 (PBE-GGA)

Data for ErTc3P3 after structural relaxation.

Geometry as POSCAR:
```
ErTc3P3
1.0
6.4320 0.0000 0.0000
0.0000 6.4320 0.0000
0.0000 0.0000 6.4320
Er Tc P
2 6 6
Cartesian
0.0000 0.0000 0.0000
3.2160 3.2160 3.2160
0.0000 1.6080 3.2160
0.0000 4.8240 3.2160
1.6080 3.2160 0.0000
3.2160 0.0000 1.6080
3.2160 0.0000 4.8240
4.8240 3.2160 0.0000
0.0000 3.2160 1.6080
0.0000 3.2160 4.8240
1.6080 0.0000 3.2160
3.2160 1.6080 0.0000
3.2160 4.8240 0.0000
4.8240 0.0000 3.2160
```

## Properties
D(E_F): 5.84 states/eV per cell
final energy: -7.62 eV/atom
DFT formation energy: -205 meV/atom
V: 19.01 Å³ per atom